# 1
Here is a relaxed structure of Ac2Al7Cu from the Alexandria database. Energies are from GGA-PBE.

Cell lengths 4.469, 4.469, 10.927 Å; angles 90.00, 90.00, 90.00 degrees
Space group P-4m2 (No. 115)
Unique sites:
Ac (0.000, 0.500, 0.244)
Al (0.000, 0.000, 0.000)
Al (0.000, 0.000, 0.500)
Al (0.000, 0.500, 0.637)
Al (0.000, 0.500, 0.878)
Al (0.500, 0.500, 0.500)
Cu (0.500, 0.500, 0.000)

## Properties
Energy of formation from the pure elements (eV/atom): -0.35
Calculated volume (Å³/cell): 218.21
E (eV per atom): -4.20

# 2
Here is a relaxed structure of BaMoCl2 from the Alexandria database. Energies are from GGA-PBE.

Cell lengths 4.366, 4.366, 12.182 Å; angles 90.00, 90.00, 90.00 degrees
Space group I-4m2 (No. 119)
Unique sites:
Ba (0.000, 0.000, 0.000)
Mo (0.000, 0.500, 0.250)
Cl (0.000, 0.000, 0.500)
Cl (0.000, 0.500, 0.750)

## Properties
Calculated volume (Å³/cell): 232.22
E (eV per atom): -4.39
Formation energy from raw total energies (eV per atom): -0.280

# 3
Here is a relaxed structure of Th2Tl3In from the Alexandria database. Energies are from GGA-PBE.

Cell lengths 3.580, 5.225, 9.074 Å; angles 90.00, 90.00, 90.00 degrees
Space group Pmm2 (No. 25)
Unique sites:
Th (0.000, 0.000, 0.000)
Th (0.000, 0.500, 0.494)
Tl (0.500, 0.000, 0.660)
Tl (0.500, 0.500, 0.167)
Tl (0.500, 0.500, 0.831)
In (0.500, 0.000, 0.330)

## Properties
Energy of formation from the pure elements (eV/atom): -0.07
Calculated volume (Å³/cell): 169.76
E (eV per atom): -4.18

# 4
Here is a relaxed structure of AgAsBr2 from the Alexandria database. Energies are from GGA-PBE.

Cell lengths 3.961, 3.961, 15.385 Å; angles 90.00, 90.00, 90.00 degrees
Space group I-4m2 (No. 119)
Unique sites:
Ag (0.000, 0.000, 0.000)
As (0.000, 0.500, 0.750)
Br (0.000, 0.000, 0.500)
Br (0.000, 0.500, 0.250)

## Properties
Calculated volume (Å³/cell): 241.41
E (eV per atom): -2.51
Formation energy from raw total energies (eV per atom): 0.205

# 5
Here is a relaxed structure of NaNb3Pd from the Alexandria database. Energies are from GGA-PBE.

Cell lengths 4.955, 4.955, 4.955 Å; angles 90.00, 90.00, 90.00 degrees
Space group Pm-3m (No. 221)
Unique sites:
Na (0.000, 0.000, 0.000)
Nb (0.000, 0.500, 0.500)
Pd (0.500, 0.500, 0.500)

## Properties
Energy of formation from the pure elements (eV/atom): 1.35
Calculated volume (Å³/cell): 121.64
E (eV per atom): -5.99

# 6
Here is a relaxed structure of Ga2Ru from the Alexandria database. Energies are from GGA-PBE.

Cell lengths 4.782, 8.268, 8.771 Å; angles 90.00, 90.00, 90.00 degrees
Space group Fddd (No. 70, origin choice 2)
Unique sites:
Ga (0.125, 0.295, 0.125)
Ru (0.125, 0.125, 0.625)

## Properties
Energy of formation from the pure elements (eV/atom): -0.41
Calculated volume (Å³/cell): 346.75
E (eV per atom): -5.52

# 7
Here is a relaxed structure of SrBeRu from the Alexandria database. Energies are from GGA-PBE.

Cell lengths 4.238, 4.238, 8.451 Å; angles 90.00, 90.00, 90.00 degrees
Space group P4/nmm (No. 129, origin choice 2)
Unique sites:
Sr (0.250, 0.250, 0.229)
Be (0.250, 0.250, 0.593)
Ru (0.250, 0.750, 0.500)

## Properties
Energy of formation from the pure elements (eV/atom): -0.02
Calculated volume (Å³/cell): 151.77
E (eV per atom): -4.91

# 8
Here is a relaxed structure of RbTl2VCl6 from the Alexandria database. Energies are from GGA-PBE.

Cell lengths 7.392, 7.403, 7.423 Å; angles 65.13, 65.12, 65.07 degrees
Space group P-1 (No. 2)
Unique sites:
Rb (0.000, 0.000, 0.000)
Tl (0.275, 0.274, 0.275)
V (0.500, 0.500, 0.500)
Cl (0.194, 0.384, 0.680)
Cl (0.317, 0.806, 0.615)
Cl (0.385, 0.681, 0.194)

## Properties
Calculated volume (Å³/cell): 319.23
E (eV per atom): -3.89
Formation energy from raw total energies (eV per atom): -1.297

# 9
Here is a relaxed structure of Sm6TlCd2 from the Alexandria database. Energies are from GGA-PBE.

Cell lengths 5.222, 13.280, 15.652 Å; angles 90.00, 90.00, 90.00 degrees
Space group Fmmm (No. 69)
Unique sites:
Sm (0.000, 0.156, 0.000)
Sm (0.000, 0.156, 0.333)
Tl (0.000, 0.000, 0.500)
Cd (0.000, 0.000, 0.168)

## Properties
Energy of formation from the pure elements (eV/atom): -0.21
Calculated volume (Å³/cell): 1085.61
E (eV per atom): -3.82

# 10
Here is a relaxed structure of LaYIn2Fe from the Alexandria database. Energies are from GGA-PBE.

Cell lengths 5.177, 5.177, 4.853 Å; angles 90.00, 90.00, 90.00 degrees
Space group P4/mmm (No. 123)
Unique sites:
La (0.000, 0.000, 0.000)
Y (0.500, 0.500, 0.000)
In (0.000, 0.500, 0.500)
Fe (0.000, 0.000, 0.500)

## Properties
Energy of formation from the pure elements (eV/atom): -0.07
Calculated volume (Å³/cell): 130.06
E (eV per atom): -5.14

# 11
Here is a relaxed structure of AsS5Br from the Alexandria database. Energies are from GGA-PBE.

Cell lengths 5.441, 6.968, 7.210 Å; angles 100.16, 96.35, 112.40 degrees
Space group P1 (No. 1)
Unique sites:
As (0.000, 0.000, 0.000)
S (0.093, 0.418, 0.336)
S (0.103, 0.002, 0.698)
S (0.782, 0.996, 0.515)
S (0.824, 0.303, 0.512)
S (0.891, 0.290, 0.056)
Br (0.555, 0.718, 0.915)

## Properties
Calculated volume (Å³/cell): 243.99
E (eV per atom): -3.94
Formation energy from raw total energies (eV per atom): -0.093

# 12
Here is a relaxed structure of CaTlSeN2 from the Alexandria database. Energies are from GGA-PBE.

Cell lengths 4.378, 4.378, 5.826 Å; angles 90.00, 90.00, 90.00 degrees
Space group P4/mmm (No. 123)
Unique sites:
Ca (0.000, 0.000, 0.000)
Tl (0.500, 0.500, 0.500)
Se (0.500, 0.500, 0.000)
N (0.000, 0.500, 0.500)

## Properties
Calculated volume (Å³/cell): 111.64
E (eV per atom): -4.03
Formation energy from raw total energies (eV per atom): 0.875

# 13
Here is a relaxed structure of Ti4In3Pd from the Alexandria database. Energies are from GGA-PBE.

Cell lengths 3.530, 3.530, 11.835 Å; angles 90.00, 90.00, 90.00 degrees
Space group P4/mmm (No. 123)
Unique sites:
Ti (0.000, 0.000, 0.112)
Ti (0.000, 0.000, 0.370)
In (0.500, 0.500, 0.240)
In (0.500, 0.500, 0.500)
Pd (0.500, 0.500, 0.000)

## Properties
Energy of formation from the pure elements (eV/atom): -0.15
Calculated volume (Å³/cell): 147.50
E (eV per atom): -5.77

# 14
Here is a relaxed structure of Pm5Cu2Ge5 from the Alexandria database. Energies are from GGA-PBE.

Cell lengths 11.698, 4.294, 11.642 Å; angles 90.00, 110.88, 90.00 degrees
Space group C2/m (No. 12)
Unique sites:
Pm (0.000, 0.000, 0.000)
Pm (0.120, 0.500, 0.775)
Pm (0.156, 0.500, 0.493)
Cu (0.179, 0.500, 0.245)
Ge (0.000, 0.000, 0.500)
Ge (0.099, 0.000, 0.284)
Ge (0.214, 0.500, 0.050)

## Properties
Energy of formation from the pure elements (eV/atom): -0.55
Calculated volume (Å³/cell): 546.38
E (eV per atom): -5.14

# 15
Here is a relaxed structure of TmTlCd2 from the Alexandria database. Energies are from GGA-PBE.

Cell lengths 3.854, 3.854, 6.906 Å; angles 90.00, 90.00, 90.00 degrees
Space group P4/mmm (No. 123)
Unique sites:
Tm (0.000, 0.000, 0.000)
Tl (0.000, 0.000, 0.500)
Cd (0.500, 0.500, 0.241)

## Properties
Energy of formation from the pure elements (eV/atom): -0.12
Calculated volume (Å³/cell): 102.58
E (eV per atom): -2.29

# 16
Here is a relaxed structure of KSrRu2 from the Alexandria database. Energies are from GGA-PBE.

Cell lengths 5.032, 5.032, 7.094 Å; angles 90.00, 90.00, 90.00 degrees
Space group I-4m2 (No. 119)
Unique sites:
K (0.000, 0.000, 0.000)
Sr (0.000, 0.500, 0.750)
Ru (0.000, 0.000, 0.500)
Ru (0.000, 0.500, 0.250)

## Properties
Energy of formation from the pure elements (eV/atom): 1.13
Calculated volume (Å³/cell): 179.61
E (eV per atom): -4.21

# 17
Here is a relaxed structure of Re4PbSe from the Alexandria database. Energies are from GGA-PBE.

Cell lengths 7.564, 7.564, 7.564 Å; angles 90.00, 90.00, 90.00 degrees
Space group F-43m (No. 216)
Unique sites:
Re (0.124, 0.124, 0.124)
Pb (0.000, 0.000, 0.500)
Se (0.250, 0.250, 0.750)

## Properties
Calculated volume (Å³/cell): 432.72
E (eV per atom): -8.44
Formation energy from raw total energies (eV per atom): 1.053

# 18
Here is a relaxed structure of Nb2InGa from the Alexandria database. Energies are from GGA-PBE.

Cell lengths 6.640, 6.640, 6.640 Å; angles 90.00, 90.00, 90.00 degrees
Space group Fm-3m (No. 225)
Unique sites:
Nb (0.250, 0.250, 0.250)
In (0.000, 0.000, 0.000)
Ga (0.000, 0.000, 0.500)

## Properties
Energy of formation from the pure elements (eV/atom): 0.16
Calculated volume (Å³/cell): 292.77
E (eV per atom): -6.32

# 19
Here is a relaxed structure of NdBiS3 from the Alexandria database. Energies are from GGA-PBE.

Cell lengths 8.007, 4.023, 8.021 Å; angles 90.00, 91.64, 90.00 degrees
Space group P2_1/m (No. 11)
Unique sites:
Nd (0.120, 0.250, 0.280)
Bi (0.348, 0.750, 0.828)
S (0.119, 0.250, 0.896)
S (0.178, 0.750, 0.522)
S (0.380, 0.750, 0.173)

## Properties
Calculated volume (Å³/cell): 258.25
E (eV per atom): -5.38
Formation energy from raw total energies (eV per atom): -1.178

# 20
Here is a relaxed structure of BeAl2Rh3 from the Alexandria database. Energies are from GGA-PBE.

Cell lengths 2.937, 2.937, 8.779 Å; angles 90.00, 90.00, 90.00 degrees
Space group P4/mmm (No. 123)
Unique sites:
Be (0.000, 0.000, 0.000)
Al (0.000, 0.000, 0.322)
Rh (0.500, 0.500, 0.155)
Rh (0.500, 0.500, 0.500)

## Properties
Energy of formation from the pure elements (eV/atom): -0.97
Calculated volume (Å³/cell): 75.75
E (eV per atom): -6.51